BaMo2Ru (PBE, relaxed); space group = No. 141; calculated volume = 437.99 Å³/cell; formation enthalpy at 0 K = 1146 meV/atom; energy relative to the lowest polymorph listed for this composition = 503 meV/atom
1.0
5.034 0.000 0.000
0.000 5.034 0.000
0.000 0.000 17.284
Ba Mo Ru
4 8 4
Cartesian
0.000 1.259 6.481
0.000 3.776 10.802
2.517 1.259 2.160
2.517 3.776 15.123
0.000 0.000 0.000
0.000 2.517 0.000
1.259 1.259 12.963
1.259 3.776 4.321
2.517 0.000 8.642
2.517 2.517 8.642
3.776 1.259 12.963
3.776 3.776 4.321
0.000 1.259 15.123
0.000 3.776 2.160
2.517 1.259 10.802
2.517 3.776 6.481